<1>
# Nd8Cd2Hg PBE relaxed
data_Nd8Cd2Hg
_cell_length_a 5.367
_cell_length_b 7.370
_cell_length_c 9.684
_cell_angle_alpha 106.19
_cell_angle_beta 106.09
_cell_angle_gamma 90.00
_symmetry_space_group_name_H-M 'P 1'
_symmetry_Int_Tables_number 1
loop_
_symmetry_equiv_pos_as_xyz
'x,y,z'
loop_
_atom_site_label
_atom_site_fract_x
_atom_site_fract_y
_atom_site_fract_z
Nd1 0.591 0.458 0.182
Nd2 0.336 0.044 0.672
Nd3 0.804 0.707 0.609
Nd4 0.664 0.956 0.328
Nd5 0.409 0.542 0.818
Nd6 0.979 0.239 0.957
Nd7 0.196 0.293 0.391
Nd8 0.021 0.761 0.043
Hg1 0.500 0.000 0.000
Cd1 0.814 0.291 0.628
Cd2 0.186 0.709 0.372
# **SG**: C2/m (12)

=====

<2>
# Nd8Cd2Hg PBE relaxed
data_Nd8Cd2Hg
_cell_length_a 5.531
_cell_length_b 8.811
_cell_length_c 8.800
_cell_angle_alpha 119.56
_cell_angle_beta 108.32
_cell_angle_gamma 90.00
_symmetry_space_group_name_H-M 'P 1'
_symmetry_Int_Tables_number 1
loop_
_symmetry_equiv_pos_as_xyz
'x,y,z'
loop_
_atom_site_label
_atom_site_fract_x
_atom_site_fract_y
_atom_site_fract_z
Nd1 0.864 0.814 0.729
Nd2 0.591 0.447 0.182
Nd3 0.136 0.186 0.271
Nd4 0.071 0.721 0.141
Nd5 0.409 0.553 0.818
Nd6 0.929 0.279 0.859
Nd7 0.320 0.051 0.639
Nd8 0.680 0.949 0.361
Cd1 0.771 0.383 0.543
Cd2 0.229 0.617 0.457
Hg1 0.500 0.000 0.000
# **SG**: C2/m (12)

=====

<2> (3.5 kJ/mol of atoms below the next structure)